Below is Tb2HoZn2Ga2 after structural relaxation, with properties calculated at the PBE level.

Cell lengths 9.5214, 9.5214, 9.5214 Å; angles 26.94, 26.94, 26.94 degrees
Fractional positions:
Tb 0.1260 0.1260 0.1260
Tb 0.8740 0.8740 0.8740
Ho 0.0000 0.0000 0.0000
Zn 0.3959 0.3959 0.3959
Zn 0.6041 0.6041 0.6041
Ga 0.2648 0.2648 0.2648
Ga 0.7352 0.7352 0.7352

## Properties
* E: -0.1325 hartree per atom
* formation enthalpy at 0 K: -401 meV/atom

Below is Tb2Ho2ZnGa4 after structural relaxation, with properties calculated at the PBE level.

Cell lengths 6.5653, 6.5653, 6.5653 Å; angles 116.04, 116.04, 97.01 degrees
Fractional positions:
Tb 0.1878 0.1878 0.0000
Tb 0.8122 0.8122 0.0000
Ho 0.2500 0.7500 0.5000
Ho 0.7500 0.2500 0.5000
Zn 0.5000 0.5000 0.0000
Ga 0.2548 0.2548 0.5096
Ga 0.2548 0.7452 0.0000
Ga 0.7452 0.2548 0.0000
Ga 0.7452 0.7452 0.4904

## Properties
* E: -0.1400 hartree per atom
* formation enthalpy at 0 K: -276 meV/atom